Entry 1:
# CeDyTlPt

A geometry-optimized CeDyTlPt structure (PBE, Alexandria).

Values from the calculation:
ΔE_f, eV per atom: -0.57
M_tot, μB/cell: 0.65
SG: F-43m, No. 216
Raw total energy, Ry/atom: -0.3903
Density, g cm⁻³: 11.60
Density of states at the Fermi level, states/eV/cell: 6.92

POSCAR file:
```
CeDyTlPt
1.0
0.000 3.691 3.691
3.691 0.000 3.691
3.691 3.691 0.000
Ce Dy Tl Pt
1 1 1 1
Direct
0.000 0.000 0.000
0.500 0.500 0.500
0.250 0.250 0.250
0.750 0.750 0.750
```

---

Entry 2:
# ScCr2Mo

A geometry-optimized ScCr2Mo structure (PBE, Alexandria).

Values from the calculation:
ΔE_f, eV per atom: 0.21
M_tot, μB/cell: 0.00
SG: P4mm, No. 99
Raw total energy, Ry/atom: -0.6535
E above lowest polymorph, meV/atom: 19
Density, g cm⁻³: 6.76
Density of states at the Fermi level, states/eV/cell: 3.91

POSCAR file:
```
ScCr2Mo
1.0
2.959 0.000 0.000
0.000 2.959 0.000
0.000 0.000 6.874
Sc Cr Mo
1 2 1
Direct
0.000 0.000 0.000
0.000 0.000 0.465
0.500 0.500 0.280
0.500 0.500 0.692
```

---

Entry 3:
# LiTmGa2Cu4

A geometry-optimized LiTmGa2Cu4 structure (PBE, Alexandria).

Values from the calculation:
ΔE_f, eV per atom: -0.26
M_tot, μB/cell: 0.00
SG: R-3m, No. 166
Raw total energy, Ry/atom: -0.2839
Density, g cm⁻³: 7.91
Density of states at the Fermi level, states/eV/cell: 3.06

POSCAR file:
```
LiTmGa2Cu4
1.0
2.112 1.219 7.736
-2.112 1.219 7.736
0.000 -2.439 7.736
Li Tm Ga Cu
1 1 2 4
Direct
0.000 0.000 0.000
0.500 0.500 0.500
0.256 0.256 0.256
0.744 0.744 0.744
0.102 0.102 0.102
0.371 0.371 0.371
0.629 0.629 0.629
0.898 0.898 0.898
```

---

Entry 4:
# Mg5Ag

A geometry-optimized Mg5Ag structure (PBE, Alexandria).

Values from the calculation:
ΔE_f, eV per atom: -0.07
M_tot, μB/cell: 0.00
SG: P4/mmm, No. 123
Raw total energy, Ry/atom: -0.1377
Density, g cm⁻³: 2.94
Density of states at the Fermi level, states/eV/cell: 2.80

POSCAR file:
```
Mg5Ag
1.0
3.288 0.000 0.000
0.000 3.288 0.000
0.000 0.000 11.992
Mg Ag
5 1
Direct
0.000 0.000 0.000
0.000 0.000 0.359
0.000 0.000 0.641
0.500 0.500 0.179
0.500 0.500 0.821
0.500 0.500 0.500
```

---

Entry 5:
# Dy4TeC

A geometry-optimized Dy4TeC structure (PBE, Alexandria).

Values from the calculation:
M_tot, μB/cell: 0.00
SG: C2/c, No. 15
Raw total energy, Ry/atom: -0.4120
E above lowest polymorph, meV/atom: 36
Energy relative to the elements, uncorrected, meV/atom: -477
Density, g cm⁻³: 8.12
Density of states at the Fermi level, states/eV/cell: 12.11

POSCAR file:
```
Dy4TeC
1.0
4.734 -7.115 0.000
4.734 7.115 0.000
-3.856 0.000 4.796
Dy Te C
8 2 2
Direct
0.056 0.669 0.885
0.154 0.250 0.646
0.250 0.154 0.146
0.331 0.944 0.615
0.669 0.056 0.385
0.750 0.846 0.854
0.846 0.750 0.354
0.944 0.331 0.115
0.380 0.620 0.250
0.620 0.380 0.750
0.074 0.926 0.250
0.926 0.074 0.750
```

---

Entry 6:
# SeBr2ClO

A geometry-optimized SeBr2ClO structure (PBE, Alexandria).

Values from the calculation:
M_tot, μB/cell: 0.80
SG: P4/mmm, No. 123
Raw total energy, Ry/atom: -0.1072
E above lowest polymorph, meV/atom: 545
Energy relative to the elements, uncorrected, meV/atom: 1269
Density, g cm⁻³: 3.38
Density of states at the Fermi level, states/eV/cell: 10.76

POSCAR file:
```
SeBr2ClO
1.0
5.354 0.000 0.000
0.000 5.354 0.000
0.000 0.000 4.980
Se Br Cl O
1 2 1 1
Direct
0.000 0.000 0.000
0.000 0.500 0.500
0.500 0.000 0.500
0.000 0.000 0.500
0.500 0.500 0.000
```

---

Entry 7:
# Tl2InP

A geometry-optimized Tl2InP structure (PBE, Alexandria).

Values from the calculation:
ΔE_f, eV per atom: 0.24
M_tot, μB/cell: 0.00
SG: Pmmm, No. 47
Raw total energy, Ry/atom: -0.2193
E above lowest polymorph, meV/atom: 132
Density, g cm⁻³: 8.75
Density of states at the Fermi level, states/eV/cell: 1.56

POSCAR file:
```
Tl2InP
1.0
4.619 0.000 0.000
0.000 4.647 0.000
0.000 0.000 4.904
Tl In P
2 1 1
Direct
0.000 0.000 0.000
0.500 0.500 0.000
0.000 0.500 0.500
0.500 0.000 0.500
```

---

Entry 8:
# Nd2MgHg4

A geometry-optimized Nd2MgHg4 structure (PBE, Alexandria).

Values from the calculation:
ΔE_f, eV per atom: -0.35
M_tot, μB/cell: 0.00
SG: R-3m, No. 166
Raw total energy, Ry/atom: -0.1555
E above lowest polymorph, meV/atom: 0
Density, g cm⁻³: 9.55
Density of states at the Fermi level, states/eV/cell: 4.08

POSCAR file:
```
Nd2MgHg4
1.0
2.553 1.474 8.585
-2.553 1.474 8.585
0.000 -2.948 8.585
Nd Mg Hg
2 1 4
Direct
0.250 0.250 0.250
0.750 0.750 0.750
0.000 0.000 0.000
0.127 0.127 0.127
0.375 0.375 0.375
0.625 0.625 0.625
0.873 0.873 0.873
```

---

Entry 9:
# ZrAlTc2

A geometry-optimized ZrAlTc2 structure (PBE, Alexandria).

Values from the calculation:
ΔE_f, eV per atom: -0.09
M_tot, μB/cell: 0.00
SG: F-43m, No. 216
Raw total energy, Ry/atom: -0.6137
Density, g cm⁻³: 7.98
Density of states at the Fermi level, states/eV/cell: 4.52

POSCAR file:
```
ZrAlTc2
1.0
0.000 3.197 3.197
3.197 0.000 3.197
3.197 3.197 0.000
Zr Al Tc
1 1 2
Direct
0.000 0.000 0.000
0.750 0.750 0.750
0.250 0.250 0.250
0.500 0.500 0.500
```

---

Entry 10:
# TlHgBi2Pb5

A geometry-optimized TlHgBi2Pb5 structure (PBE, Alexandria).

Values from the calculation:
ΔE_f, eV per atom: 0.04
M_tot, μB/cell: 0.00
SG: Cmc2_1, No. 36
Raw total energy, Ry/atom: -0.2338
Density, g cm⁻³: 10.34
Density of states at the Fermi level, states/eV/cell: 9.35

POSCAR file:
```
TlHgBi2Pb5
1.0
2.270 -9.525 0.000
2.270 9.525 0.000
0.000 0.000 13.811
Tl Hg Bi Pb
2 2 4 10
Direct
0.247 0.753 0.500
0.753 0.247 0.000
0.113 0.887 0.957
0.887 0.113 0.457
0.354 0.646 0.151
0.402 0.598 0.825
0.598 0.402 0.325
0.646 0.354 0.651
0.030 0.970 0.761
0.068 0.932 0.496
0.174 0.826 0.177
0.221 0.779 0.791
0.455 0.545 0.596
0.545 0.455 0.096
0.779 0.221 0.291
0.826 0.174 0.677
0.932 0.068 0.996
0.970 0.030 0.261
```

---

Entry 11:
# BaSnHg2Au4

A geometry-optimized BaSnHg2Au4 structure (PBE, Alexandria).

Values from the calculation:
ΔE_f, eV per atom: -0.27
M_tot, μB/cell: 0.00
SG: R-3m, No. 166
Raw total energy, Ry/atom: -0.2000
Density, g cm⁻³: 11.40
Density of states at the Fermi level, states/eV/cell: 2.60

POSCAR file:
```
BaSnHg2Au4
1.0
2.500 1.443 9.726
-2.500 1.443 9.726
0.000 -2.887 9.726
Ba Sn Hg Au
1 1 2 4
Direct
0.000 0.000 0.000
0.500 0.500 0.500
0.264 0.264 0.264
0.736 0.736 0.736
0.162 0.162 0.162
0.401 0.401 0.401
0.599 0.599 0.599
0.838 0.838 0.838
```

---

Entry 12:
# CaCe4Y3Te8

A geometry-optimized CaCe4Y3Te8 structure (PBE, Alexandria).

Values from the calculation:
M_tot, μB/cell: 5.23
SG: R-3m, No. 166
Raw total energy, Ry/atom: -0.4240
Energy relative to the elements, uncorrected, meV/atom: -1377
Density, g cm⁻³: 6.31
Density of states at the Fermi level, states/eV/cell: 30.65

POSCAR file:
```
CaCe4Y3Te8
1.0
4.411 2.547 7.371
-4.411 2.547 7.371
0.000 -5.094 7.371
Ca Ce Y Te
1 4 3 8
Direct
0.000 0.000 0.000
0.000 0.000 0.500
0.000 0.500 0.000
0.500 0.000 0.000
0.500 0.500 0.500
0.000 0.500 0.500
0.500 0.000 0.500
0.500 0.500 0.000
0.247 0.247 0.745
0.247 0.745 0.247
0.254 0.254 0.254
0.255 0.753 0.753
0.745 0.247 0.247
0.746 0.746 0.746
0.753 0.255 0.753
0.753 0.753 0.255
```